This record from Alexandria via LeMat-Bulk describes a relaxed structure of Li4Ti3Fe3Cu2O16. The functional is GGA+U.

Cell lengths 5.920, 5.920, 9.607 Å; angles 90.69, 90.69, 59.51 degrees
Element x y z (fractional)
Li: 0.000 0.000 0.000
Li: 0.006 0.006 0.505
Li: 0.335 0.335 0.601
Li: 0.665 0.665 0.096
Ti: 0.169 0.665 0.286
Ti: 0.665 0.169 0.286
Ti: 0.832 0.832 0.786
Fe: 0.170 0.170 0.282
Fe: 0.339 0.835 0.785
Fe: 0.835 0.339 0.785
Cu: 0.330 0.330 0.012
Cu: 0.665 0.665 0.515
O: 0.002 0.002 0.691
O: 0.039 0.485 0.155
O: 0.157 0.665 0.894
O: 0.160 0.160 0.894
O: 0.327 0.828 0.394
O: 0.339 0.339 0.394
O: 0.479 0.479 0.160
O: 0.485 0.039 0.155
O: 0.521 0.521 0.661
O: 0.525 0.961 0.656
O: 0.665 0.157 0.894
O: 0.666 0.666 0.890
O: 0.828 0.327 0.394
O: 0.837 0.837 0.391
O: 0.961 0.525 0.656
O: 0.996 0.996 0.185

Summary:
Calculated volume = 290.10 Å³ per cell
Final energy = -185.53 eV per cell
DOS(E_F) = 4.8 states/eV/f.u.